(1)
Computed, not measured: a relaxed LaCeMgSn crystal at the PBE-GGA level of DFT.

abc: 5.499 5.499 5.499
angles: 60.00 60.00 60.00
Positions (direct):
La: 0.000 0.000 0.000
Ce: 0.500 0.500 0.500
Mg: 0.750 0.750 0.750
Sn: 0.250 0.250 0.250

spin magnetization = 1.176 Bohr magnetons per cell
crystal system = cubic
energy of formation = -0.357 eV per atom
DFT total energy = -4.47 eV/atom

---

(2)
Computed, not measured: a relaxed LaCeMgTc crystal at the PBE-GGA level of DFT.

abc: 5.173 5.173 5.173
angles: 60.00 60.00 60.00
Positions (direct):
La: 0.000 0.000 0.000
Ce: 0.500 0.500 0.500
Mg: 0.250 0.250 0.250
Tc: 0.750 0.750 0.750

spin magnetization = 0.004 Bohr magnetons per cell
crystal system = cubic
energy of formation = 0.129 eV per atom
DFT total energy = -5.58 eV/atom

---

(3)
Computed, not measured: a relaxed La2CeMgTe5 crystal at the PBE-GGA level of DFT.

abc: 9.875 9.875 13.621
angles: 90.00 90.00 153.80
Positions (direct):
La: 0.113 0.887 0.500
La: 0.131 0.869 0.123
La: 0.869 0.131 0.623
La: 0.887 0.113 0.000
Ce: 0.204 0.796 0.826
Ce: 0.796 0.204 0.326
Mg: 0.448 0.552 0.272
Mg: 0.552 0.448 0.772
Te: 0.047 0.953 0.888
Te: 0.287 0.713 0.490
Te: 0.315 0.685 0.161
Te: 0.368 0.632 0.816
Te: 0.495 0.505 0.589
Te: 0.505 0.495 0.089
Te: 0.632 0.368 0.316
Te: 0.685 0.315 0.661
Te: 0.713 0.287 0.990
Te: 0.953 0.047 0.388

spin magnetization = 2.572 Bohr magnetons per cell
crystal system = orthorhombic
DFT total energy = -5.01 eV/atom
energy relative to the elements, uncorrected = -1158 kJ/mol of formula units